# BeZnCl2

A geometry-optimized BeZnCl2 structure (PBE-GGA, Alexandria via LeMat-Bulk).

The value obtained for the uncorrected formation energy is 0.1518 eV/atom.

Cell lengths 7.489, 7.489, 7.489 Å; angles 152.25, 152.25, 39.64 degrees
Element x y z (fractional)
Cl 0.000 0.000 0.000
Cl 0.250 0.750 0.500
Be 0.750 0.250 0.500
Zn 0.500 0.500 0.000

# TiAl2Ir2

A geometry-optimized TiAl2Ir2 structure (PBE-GGA, Alexandria via LeMat-Bulk).

For the energy of formation from the pure elements, the calculation gives -739.9 meV/atom.

Cell lengths 7.318, 7.318, 2.790 Å; angles 90.00, 90.00, 90.00 degrees
Element x y z (fractional)
Ti 0.500 0.500 0.000
Ti 0.000 0.000 0.000
Al 0.127 0.373 0.000
Al 0.627 0.127 0.000
Al 0.873 0.627 0.000
Al 0.373 0.873 0.000
Ir 0.330 0.170 0.500
Ir 0.670 0.830 0.500
Ir 0.830 0.330 0.500
Ir 0.170 0.670 0.500

| no. | excess energy over the best structure of this formula in the dataset (kcal/mol of atoms) |
| --- | --- |
| 1 | 18.72 |
| 2 | 0.00 |